Here is a geometry-optimized ReSnS3 structure from OQMD via LeMat-Bulk. Energies are from PBE.

Unit cell a=7.7100 b=10.8098 c=5.9463 alpha=90.00 beta=105.33 gamma=90.00
Sites, in units of the cell vectors:
Re: 0.8407 0.2251 0.0120
Re: 0.1593 0.7251 0.4880
Re: 0.8407 0.2749 0.5120
Re: 0.1593 0.7749 0.9880
S: 0.2492 0.9662 0.0689
S: 0.4309 0.6678 0.1080
S: 0.9370 0.7123 0.1420
S: 0.0630 0.2123 0.3580
S: 0.5691 0.1678 0.3920
S: 0.7508 0.4662 0.4311
S: 0.2492 0.5338 0.5689
S: 0.4309 0.8322 0.6080
S: 0.9370 0.7877 0.6420
S: 0.0630 0.2877 0.8580
S: 0.5691 0.3322 0.8920
S: 0.7508 0.0338 0.9311
Sn: 0.4126 0.3858 0.2307
Sn: 0.5874 0.8858 0.2693
Sn: 0.4126 0.1142 0.7307
Sn: 0.5874 0.6142 0.7693

Total moment ... 0.00 μB per formula unit
VASP energy ... -118.08 eV for the cell shown


Here is a geometry-optimized RbTcAgTeS2 structure from OQMD via LeMat-Bulk. Energies are from PBE.

Unit cell a=8.4205 b=8.4205 c=10.4056 alpha=90.00 beta=90.00 gamma=154.89
Each line ends with the local moment (μB).
Sites, in units of the cell vectors:
Ag: 0.9464 0.0536 0.2500  0.06
Ag: 0.0536 0.9464 0.7500  0.06
Rb: 0.2677 0.7323 0.2500  0.00
Rb: 0.7323 0.2677 0.7500  0.00
S: 0.8987 0.1013 0.0285  0.07
S: 0.8987 0.1013 0.4715  0.07
S: 0.1013 0.8987 0.5285  0.07
S: 0.1013 0.8987 0.9715  0.07
Tc: 0.5000 0.5000 0.0000  1.85
Tc: 0.5000 0.5000 0.5000  1.85
Te: 0.5758 0.4242 0.2500  -0.02
Te: 0.4242 0.5758 0.7500  -0.02

Total moment ... 2.34 μB per formula unit
VASP energy ... -54.75 eV for the cell shown


Here is a geometry-optimized LaPrAl2Si4 structure from OQMD via LeMat-Bulk. Energies are from PBE.

Unit cell a=4.1843 b=4.1843 c=11.3060 alpha=90.00 beta=90.00 gamma=120.00
Sites, in units of the cell vectors:
Al: 0.6667 0.3333 0.4147
Al: 0.3333 0.6667 0.5813
La: 0.0000 0.0000 0.8182
Pr: 0.0000 0.0000 0.1839
Si: 0.6667 0.3333 0.0077
Si: 0.3333 0.6667 0.3552
Si: 0.6667 0.3333 0.6423
Si: 0.3333 0.6667 0.9968

Total moment ... 0.01 μB per formula unit
VASP energy ... -42.90 eV for the cell shown


Here is a geometry-optimized BeBIr2 structure from OQMD via LeMat-Bulk. Energies are from PBE.

Unit cell a=4.0751 b=4.0751 c=4.0751 alpha=60.00 beta=60.00 gamma=60.00
Sites, in units of the cell vectors:
B: 0.5000 0.5000 0.5000
Be: 0.2500 0.2500 0.2500
Ir: 0.0000 0.0000 0.0000
Ir: 0.7500 0.7500 0.7500

Total moment ... 0.01 μB per formula unit
VASP energy ... -25.48 eV for the cell shown


Here is a geometry-optimized MgAlAg structure from OQMD via LeMat-Bulk. Energies are from PBE.

Unit cell a=6.2192 b=4.3103 c=8.2244 alpha=90.00 beta=90.00 gamma=90.00
Sites, in units of the cell vectors:
Ag: 0.7544 0.2500 0.1564
Ag: 0.2544 0.2500 0.3436
Ag: 0.7456 0.7500 0.6564
Ag: 0.2456 0.7500 0.8436
Al: 0.1469 0.2500 0.0319
Al: 0.6469 0.2500 0.4681
Al: 0.3531 0.7500 0.5319
Al: 0.8531 0.7500 0.9681
Mg: 0.4451 0.7500 0.1661
Mg: 0.9451 0.7500 0.3339
Mg: 0.0549 0.2500 0.6661
Mg: 0.5549 0.2500 0.8339

VASP energy ... -34.19 eV for the cell shown


Here is a geometry-optimized PrZr structure from OQMD via LeMat-Bulk. Energies are from PBE.

Unit cell a=5.9909 b=7.0340 c=5.5025 alpha=90.00 beta=90.00 gamma=90.00
Sites, in units of the cell vectors:
Pr: 0.9889 0.0000 0.0000
Pr: 0.3583 0.0000 0.5000
Pr: 0.8240 0.2730 0.5000
Pr: 0.8240 0.7270 0.5000
Zr: 0.4912 0.2873 0.0000
Zr: 0.0347 0.5000 0.0000
Zr: 0.4912 0.7127 0.0000
Zr: 0.3210 0.5000 0.5000

Total moment ... 0.01 μB per formula unit
VASP energy ... -51.99 eV for the cell shown
Calculated formation energy ... 162.6 meV/atom


Here is a geometry-optimized BaTcF6 structure from OQMD via LeMat-Bulk. Energies are from PBE.

Unit cell a=5.8120 b=5.8120 c=5.8120 alpha=52.63 beta=52.63 gamma=52.63
Each line ends with the local moment (μB).
Sites, in units of the cell vectors:
Ba: 0.5000 0.5000 0.5000  0.01
F: 0.5780 0.0913 0.0913  0.07
F: 0.0913 0.5780 0.0913  0.07
F: 0.9087 0.9087 0.4220  0.07
F: 0.0913 0.0913 0.5780  0.07
F: 0.9087 0.4220 0.9087  0.07
F: 0.4220 0.9087 0.9087  0.07
Tc: 0.0000 0.0000 0.0000  2.39

Total moment ... 3.00 μB per formula unit
VASP energy ... -45.37 eV for the cell shown


Here is a geometry-optimized MgHgOs2 structure from OQMD via LeMat-Bulk. Energies are from PBE.

Unit cell a=4.5028 b=4.5028 c=4.5028 alpha=60.00 beta=60.00 gamma=60.00
Sites, in units of the cell vectors:
Hg: 0.2500 0.2500 0.2500
Mg: 0.5000 0.5000 0.5000
Os: 0.0000 0.0000 0.0000
Os: 0.7500 0.7500 0.7500

Total moment ... 0.02 μB per formula unit
VASP energy ... -21.88 eV for the cell shown


Here is a geometry-optimized AlCoMoPt structure from OQMD via LeMat-Bulk. Energies are from PBE.

Unit cell a=4.3006 b=4.3006 c=4.3006 alpha=60.00 beta=60.00 gamma=60.00
Each line ends with the local moment (μB).
Sites, in units of the cell vectors:
Al: 0.0000 0.0000 0.0000  0.00
Co: 0.7500 0.7500 0.7500  0.07
Mo: 0.2500 0.2500 0.2500  -0.02
Pt: 0.5000 0.5000 0.5000  -0.01

Total moment ... 0.04 μB per formula unit
VASP energy ... -28.31 eV for the cell shown


Here is a geometry-optimized PaOF3 structure from OQMD via LeMat-Bulk. Energies are from PBE.

Unit cell a=5.7161 b=5.7161 c=5.7953 alpha=120.41 beta=120.41 gamma=76.36
Sites, in units of the cell vectors:
F: 0.9339 0.5574 0.1964
F: 0.5574 0.9339 0.1964
F: 0.5504 0.5504 0.3479
F: 0.4496 0.4496 0.6521
F: 0.4426 0.0661 0.8036
F: 0.0661 0.4426 0.8036
O: 0.0589 0.0589 0.2618
O: 0.9411 0.9411 0.7382
Pa: 0.2299 0.2299 0.1176
Pa: 0.7701 0.7701 0.8824

Total moment ... 0.00 μB per formula unit
VASP energy ... -72.33 eV for the cell shown


Here is a geometry-optimized RbNa2Ag2 structure from OQMD via LeMat-Bulk. Energies are from PBE.

Unit cell a=4.8441 b=4.8441 c=7.3769 alpha=109.17 beta=109.17 gamma=90.00
Sites, in units of the cell vectors:
Ag: 0.6060 0.6060 0.2119
Ag: 0.3940 0.3940 0.7881
Na: 0.7500 0.2500 0.5000
Na: 0.2500 0.7500 0.5000
Rb: 0.0000 0.0000 0.0000

VASP energy ... -9.12 eV for the cell shown


Here is a geometry-optimized NaCu3SnS4 structure from OQMD via LeMat-Bulk. Energies are from PBE.

Unit cell a=5.8006 b=5.8006 c=5.8006 alpha=90.00 beta=90.00 gamma=90.00
Sites, in units of the cell vectors:
Cu: 0.5000 0.5000 0.0000
Cu: 0.5000 0.0000 0.5000
Cu: 0.0000 0.5000 0.5000
Na: 0.0000 0.0000 0.0000
S: 0.2622 0.2622 0.2622
S: 0.7378 0.7378 0.2622
S: 0.7378 0.2622 0.7378
S: 0.2622 0.7378 0.7378
Sn: 0.5000 0.5000 0.5000

VASP energy ... -35.26 eV for the cell shown


Here is a geometry-optimized PmPaNi structure from OQMD via LeMat-Bulk. Energies are from PBE.

Unit cell a=4.6883 b=4.6883 c=4.6883 alpha=60.00 beta=60.00 gamma=60.00
Sites, in units of the cell vectors:
Ni: 0.0000 0.0000 0.0000
Pa: 0.2500 0.2500 0.2500
Pm: 0.7500 0.7500 0.7500

Total moment ... 0.01 μB per formula unit
VASP energy ... -19.09 eV for the cell shown
Calculated formation energy ... 240.6 meV/atom


Here is a geometry-optimized LuThAl structure from OQMD via LeMat-Bulk. Energies are from PBE.

Unit cell a=5.0198 b=5.0198 c=5.0198 alpha=60.00 beta=60.00 gamma=60.00
Sites, in units of the cell vectors:
Al: 0.0000 0.0000 0.0000
Lu: 0.2500 0.2500 0.2500
Th: 0.7500 0.7500 0.7500

Total moment ... 0.02 μB per formula unit
VASP energy ... -15.52 eV for the cell shown


Here is a geometry-optimized NdClF2 structure from OQMD via LeMat-Bulk. Energies are from PBE.

Unit cell a=5.3354 b=5.3354 c=7.0493 alpha=90.00 beta=90.00 gamma=137.40
Sites, in units of the cell vectors:
Cl: 0.0483 0.9517 0.2500
Cl: 0.9517 0.0483 0.7500
F: 0.3245 0.6754 0.0650
F: 0.3245 0.6754 0.4349
F: 0.6754 0.3245 0.5651
F: 0.6754 0.3245 0.9349
Nd: 0.7634 0.2366 0.2500
Nd: 0.2366 0.7634 0.7500

Total moment ... 0.00 μB per formula unit
VASP energy ... -48.64 eV for the cell shown


Here is a geometry-optimized LiCoHgGe structure from OQMD via LeMat-Bulk. Energies are from PBE.

Unit cell a=4.3840 b=4.3840 c=4.3840 alpha=60.00 beta=60.00 gamma=60.00
Each line ends with the local moment (μB).
Sites, in units of the cell vectors:
Co: 0.7500 0.7500 0.7500  0.47
Ge: 0.0000 0.0000 0.0000  -0.01
Hg: 0.5000 0.5000 0.5000  0.00
Li: 0.2500 0.2500 0.2500  0.00

Total moment ... 0.45 μB per formula unit
VASP energy ... -13.89 eV for the cell shown


Here is a geometry-optimized ZnCuAgB structure from OQMD via LeMat-Bulk. Energies are from PBE.

Unit cell a=4.2015 b=4.2015 c=4.2015 alpha=60.00 beta=60.00 gamma=60.00
Sites, in units of the cell vectors:
Ag: 0.5000 0.5000 0.5000
B: 0.0000 0.0000 0.0000
Cu: 0.7500 0.7500 0.7500
Zn: 0.2500 0.2500 0.2500

VASP energy ... -11.71 eV for the cell shown


Here is a geometry-optimized BeAl2Ir structure from OQMD via LeMat-Bulk. Energies are from PBE.

Unit cell a=4.1813 b=4.1813 c=4.1813 alpha=60.00 beta=60.00 gamma=60.00
Sites, in units of the cell vectors:
Al: 0.0000 0.0000 0.0000
Al: 0.2500 0.2500 0.2500
Be: 0.7500 0.7500 0.7500
Ir: 0.5000 0.5000 0.5000

Total moment ... 0.00 μB per formula unit
VASP energy ... -21.37 eV for the cell shown


Here is a geometry-optimized K3Ta2S11 structure from OQMD via LeMat-Bulk. Energies are from PBE.

Unit cell a=7.9726 b=12.3719 c=18.3647 alpha=100.28 beta=102.54 gamma=90.00
Sites, in units of the cell vectors:
K: 0.3535 0.0941 0.0654
K: 0.7119 0.5941 0.0654
K: 0.3427 0.8293 0.2348
K: 0.8921 0.3293 0.2348
K: 0.3627 0.2559 0.4196
K: 0.0569 0.7559 0.4196
K: 0.9431 0.2441 0.5804
K: 0.6373 0.7441 0.5804
K: 0.6573 0.1707 0.7652
K: 0.1079 0.6707 0.7652
K: 0.2881 0.4059 0.9346
K: 0.6465 0.9059 0.9346
S: 0.1001 0.4292 0.0768
S: 0.9767 0.9292 0.0768
S: 0.5325 0.8540 0.0903
S: 0.5578 0.3540 0.0903
S: 0.2471 0.5766 0.1014
S: 0.8543 0.0766 0.1014
S: 0.2788 0.2716 0.2109
S: 0.9321 0.7716 0.2109
S: 0.6644 0.0942 0.2385
S: 0.5741 0.5942 0.2385
S: 0.0805 0.0509 0.2636
S: 0.1830 0.5509 0.2636
S: 0.5001 0.3556 0.2808
S: 0.7806 0.8556 0.2808
S: 0.7544 0.5520 0.3286
S: 0.5742 0.0520 0.3286
S: 0.1746 0.9981 0.3668
S: 0.1923 0.4981 0.3668
S: 0.9423 0.2589 0.4051
S: 0.4628 0.7589 0.4051
S: 0.8729 0.0030 0.4689
S: 0.5960 0.5030 0.4689
S: 0.1271 0.9970 0.5311
S: 0.4040 0.4970 0.5311
S: 0.5372 0.2411 0.5949
S: 0.0577 0.7411 0.5949
S: 0.8254 0.0019 0.6332
S: 0.8077 0.5019 0.6332
S: 0.2456 0.4480 0.6714
S: 0.4258 0.9480 0.6714
S: 0.4999 0.6444 0.7192
S: 0.2194 0.1444 0.7192
S: 0.9195 0.9491 0.7364
S: 0.8170 0.4491 0.7364
S: 0.4259 0.4058 0.7615
S: 0.3356 0.9058 0.7615
S: 0.0679 0.2284 0.7891
S: 0.7212 0.7284 0.7891
S: 0.7529 0.4234 0.8986
S: 0.1457 0.9234 0.8986
S: 0.4674 0.1460 0.9097
S: 0.4422 0.6460 0.9097
S: 0.8999 0.5708 0.9232
S: 0.0233 0.0708 0.9232
Ta: 0.3807 0.4274 0.1651
Ta: 0.7844 0.9274 0.1651
Ta: 0.8933 0.0797 0.3550
Ta: 0.4617 0.5797 0.3550
Ta: 0.5383 0.4203 0.6450
Ta: 0.1067 0.9203 0.6450
Ta: 0.6193 0.5726 0.8349
Ta: 0.2156 0.0726 0.8349

Total moment ... 0.00 μB per formula unit
VASP energy ... -344.58 eV for the cell shown


Here is a geometry-optimized GdC3Cl6 structure from OQMD via LeMat-Bulk. Energies are from PBE.

Unit cell a=6.1948 b=6.1948 c=6.1948 alpha=69.99 beta=69.99 gamma=69.99
Each line ends with the local moment (μB).
Sites, in units of the cell vectors:
C: 0.0000 0.0000 0.0000  0.26
C: 0.2986 0.2986 0.2986  0.03
C: 0.7014 0.7014 0.7014  0.03
Cl: 0.7423 0.5175 0.0080  0.01
Cl: 0.4825 0.9920 0.2577  0.01
Cl: 0.9920 0.2577 0.4825  0.01
Cl: 0.0080 0.7423 0.5175  0.01
Cl: 0.5175 0.0080 0.7423  0.01
Cl: 0.2577 0.4825 0.9920  0.01
Gd: 0.5000 0.5000 0.5000  0.07

Total moment ... 0.76 μB per formula unit
VASP energy ... -35.61 eV for the cell shown